Arrangement w

A relaxed ReCl5 crystal. Source: the Alexandria database, functional PBE-GGA.

Summary:
Density of states at the Fermi level   3.127 states/eV/cell
Magnetization   4.500 Bohr magnetons per cell

Unit cell a=11.083 b=11.083 c=4.887 alpha=90.00 beta=90.00 gamma=161.88
Site moments in Bohr magnetons follow the coordinates.
Fractional positions:
Cl 0.000 0.000 0.000  -0.11
Cl 0.705 0.295 0.000  -0.70
Cl 0.424 0.576 0.500  -0.06
Cl 0.295 0.705 0.000  -0.70
Cl 0.576 0.424 0.500  -0.06
Re 0.000 0.000 0.500  -2.11

Arrangement x

A relaxed ReCl5 crystal. Source: the Alexandria database, functional PBE-GGA.

Summary:
Density of states at the Fermi level   2.675 states/eV/cell
Magnetization   0.750 Bohr magnetons per cell

Unit cell a=7.505 b=7.505 c=9.282 alpha=66.64 beta=66.64 gamma=23.12
Site moments in Bohr magnetons follow the coordinates.
Fractional positions:
Cl 0.037 0.037 0.845  0.01
Cl 0.109 0.109 0.504  0.02
Cl 0.725 0.725 0.854  0.02
Cl 0.301 0.301 0.523  0.01
Cl 0.332 0.332 0.105  0.12
Re 0.663 0.663 0.668  0.46

Arrangement y

A relaxed ReCl5 crystal. Source: the Alexandria database, functional PBE-GGA.

Summary:
Density of states at the Fermi level   43.886 states/eV/cell
Magnetization   16.000 Bohr magnetons per cell

Unit cell a=12.423 b=9.615 c=13.021 alpha=70.19 beta=90.00 gamma=90.00
Site moments in Bohr magnetons follow the coordinates.
Fractional positions:
Cl 0.010 0.466 0.740  0.09
Cl 0.979 0.285 0.068  0.10
Cl 0.726 0.528 0.916  0.10
Cl 0.237 0.721 0.775  0.09
Cl 0.011 0.276 0.572  0.02
Cl 0.983 0.098 0.332  0.02
Cl 0.763 0.279 0.225  0.09
Cl 0.274 0.472 0.084  0.10
Cl 0.732 0.714 0.652  0.03
Cl 0.226 0.472 0.584  0.10
Cl 0.017 0.902 0.668  0.02
Cl 0.771 0.904 0.318  0.01
Cl 0.019 0.091 0.835  0.01
Cl 0.490 0.466 0.240  0.09
Cl 0.489 0.276 0.072  0.02
Cl 0.737 0.090 0.556  0.03
Cl 0.481 0.091 0.335  0.01
Cl 0.989 0.724 0.428  0.02
Cl 0.268 0.286 0.348  0.03
Cl 0.021 0.715 0.932  0.10
Cl 0.521 0.285 0.568  0.10
Cl 0.768 0.714 0.152  0.03
Cl 0.510 0.534 0.760  0.09
Cl 0.511 0.724 0.928  0.02
Cl 0.263 0.721 0.275  0.09
Cl 0.729 0.904 0.818  0.01
Cl 0.990 0.534 0.260  0.09
Cl 0.237 0.910 0.944  0.03
Cl 0.763 0.090 0.056  0.03
Cl 0.483 0.902 0.168  0.02
Cl 0.774 0.528 0.416  0.10
Cl 0.271 0.096 0.182  0.01
Cl 0.737 0.279 0.725  0.09
Cl 0.517 0.098 0.832  0.02
Cl 0.229 0.096 0.682  0.01
Cl 0.263 0.910 0.444  0.03
Cl 0.232 0.286 0.848  0.03
Cl 0.519 0.909 0.665  0.01
Cl 0.479 0.715 0.432  0.10
Cl 0.981 0.909 0.165  0.01
Re 0.873 0.115 0.189  1.44
Re 0.373 0.885 0.311  1.44
Re 0.379 0.302 0.205  1.44
Re 0.127 0.885 0.811  1.44
Re 0.621 0.698 0.795  1.44
Re 0.121 0.302 0.705  1.44
Re 0.879 0.698 0.295  1.44
Re 0.627 0.115 0.689  1.44

From most stable to least stable, the computed energies give arrangement y, arrangement x, arrangement w.

Arrangement w

A relaxed ReRh2Cl crystal. Source: the Alexandria database, functional PBE-GGA.

Summary:
Density of states at the Fermi level   5.565 states/eV/cell
Magnetization   0.000 Bohr magnetons per cell

Unit cell a=6.122 b=4.799 c=2.775 alpha=89.86 beta=63.30 gamma=120.53
Fractional positions:
Rh 0.000 0.000 0.000
Rh 0.500 0.000 0.500
Re 0.500 0.500 0.000
Cl 0.000 0.500 0.500

Arrangement x

A relaxed ReRh2Cl crystal. Source: the Alexandria database, functional PBE-GGA.

Summary:
Density of states at the Fermi level   5.756 states/eV/cell
Magnetization   0.001 Bohr magnetons per cell

Unit cell a=4.371 b=4.371 c=4.371 alpha=60.00 beta=60.00 gamma=60.00
Fractional positions:
Rh 0.000 0.000 0.000
Rh 0.250 0.250 0.250
Re 0.750 0.750 0.750
Cl 0.500 0.500 0.500

Arrangement y

A relaxed ReRh2Cl crystal. Source: the Alexandria database, functional PBE-GGA.

Summary:
Density of states at the Fermi level   5.478 states/eV/cell
Magnetization   0.001 Bohr magnetons per cell

Unit cell a=5.304 b=5.304 c=5.304 alpha=149.47 beta=127.46 gamma=61.99
Fractional positions:
Re 0.250 0.750 0.500
Cl 0.750 0.250 0.500
Rh 0.001 0.001 0.000
Rh 0.499 0.499 0.000

From most stable to least stable, the computed energies give arrangement y, arrangement w, arrangement x.

Arrangement w

A relaxed ReRh2Cl crystal. Source: the Alexandria database, functional PBE-GGA.

Summary:
Density of states at the Fermi level   3.108 states/eV/cell
Magnetization   0.000 Bohr magnetons per cell

Unit cell a=3.310 b=3.310 c=8.301 alpha=74.13 beta=74.13 gamma=50.55
Fractional positions:
Re 0.250 0.250 0.250
Cl 0.750 0.750 0.750
Rh 0.076 0.076 0.025
Rh 0.424 0.424 0.475

Arrangement x

A relaxed ReRh2Cl crystal. Source: the Alexandria database, functional PBE-GGA.

Summary:
Density of states at the Fermi level   4.636 states/eV/cell
Magnetization   0.492 Bohr magnetons per cell

Unit cell a=8.641 b=8.641 c=8.641 alpha=18.92 beta=18.92 gamma=18.92
Site moments in Bohr magnetons follow the coordinates.
Fractional positions:
Rh 0.249 0.249 0.249  0.45
Rh 0.003 0.003 0.003  0.07
Cl 0.496 0.496 0.496  0.01
Re 0.751 0.751 0.751  -0.04

From most stable to least stable, the computed energies give arrangement w, arrangement x.

Arrangement w

A relaxed ReRh2Cl crystal. Source: the Alexandria database, functional PBE-GGA.

Summary:
Density of states at the Fermi level   3.510 states/eV/cell
Magnetization   0.000 Bohr magnetons per cell

Unit cell a=4.611 b=4.611 c=4.611 alpha=127.10 beta=127.10 gamma=78.09
Fractional positions:
Rh 0.500 0.500 0.000
Rh 0.000 0.000 0.000
Re 0.750 0.250 0.500
Cl 0.250 0.750 0.500

Arrangement x

A relaxed ReRh2Cl crystal. Source: the Alexandria database, functional PBE-GGA.

Summary:
Density of states at the Fermi level   3.326 states/eV/cell
Magnetization   0.000 Bohr magnetons per cell

Unit cell a=2.835 b=2.835 c=7.594 alpha=90.00 beta=90.00 gamma=90.00
Fractional positions:
Cl 0.500 0.500 0.250
Re 0.500 0.500 0.750
Rh 0.000 0.000 0.984
Rh 0.000 0.000 0.516

From most stable to least stable, the computed energies give arrangement x, arrangement w.

Arrangement w

A relaxed ReRh2Cl crystal. Source: the Alexandria database, functional PBE-GGA.

Summary:
Density of states at the Fermi level   6.123 states/eV/cell
Magnetization   0.001 Bohr magnetons per cell

Unit cell a=3.885 b=3.944 c=3.944 alpha=90.00 beta=90.00 gamma=90.00
Fractional positions:
Re 0.500 0.000 0.500
Cl 0.500 0.500 0.000
Rh 0.000 0.500 0.500
Rh 0.000 0.000 0.000

Arrangement x

A relaxed ReRh2Cl crystal. Source: the Alexandria database, functional PBE-GGA.

Summary:
Density of states at the Fermi level   6.508 states/eV/cell
Magnetization   0.000 Bohr magnetons per cell

Unit cell a=2.834 b=2.834 c=7.496 alpha=90.00 beta=90.00 gamma=90.00
Fractional positions:
Cl 0.000 0.000 0.520
Re 0.500 0.500 0.755
Rh 0.500 0.500 0.243
Rh 0.000 0.000 0.982

Arrangement y

A relaxed ReRh2Cl crystal. Source: the Alexandria database, functional PBE-GGA.

Summary:
Density of states at the Fermi level   6.454 states/eV/cell
Magnetization   0.000 Bohr magnetons per cell

Unit cell a=3.564 b=2.827 c=6.730 alpha=89.99 beta=90.00 gamma=90.00
Fractional positions:
Cl 0.000 0.500 0.530
Rh 0.500 0.500 0.191
Rh 0.000 0.000 0.981
Re 0.500 0.500 0.798

From most stable to least stable, the computed energies give arrangement y, arrangement x, arrangement w.

Arrangement w

A relaxed Re2RhCl crystal. Source: the Alexandria database, functional PBE-GGA.

Summary:
Density of states at the Fermi level   1.355 states/eV/cell
Magnetization   0.000 Bohr magnetons per cell

Unit cell a=4.362 b=4.362 c=4.362 alpha=60.00 beta=60.00 gamma=60.00
Fractional positions:
Re 0.750 0.750 0.750
Re 0.250 0.250 0.250
Cl 0.000 0.000 0.000
Rh 0.500 0.500 0.500

Arrangement x

A relaxed Re2RhCl crystal. Source: the Alexandria database, functional PBE-GGA.

Summary:
Density of states at the Fermi level   4.168 states/eV/cell
Magnetization   0.000 Bohr magnetons per cell

Unit cell a=2.732 b=3.703 c=6.386 alpha=90.00 beta=90.00 gamma=90.00
Fractional positions:
Rh 0.500 0.500 0.250
Re 0.000 0.000 0.459
Re 0.000 0.000 0.041
Cl 0.500 0.500 0.750

From most stable to least stable, the computed energies give arrangement x, arrangement w.